1.
First-principles (PBE) data for crystalline Dy5PaAs6 at its relaxed geometry, as listed in the Alexandria database.

It has space group C2/m (No. 12), with a = 7.1166 Å, b = 12.3278 Å, c = 7.1142 Å, α = 90.00°, β = 109.44° and γ = 90.00°. The inequivalent atoms are Dy at (0.0000, 0.0000, 0.0000), Dy at (0.0000, 0.1663, 0.5000), Dy at (0.0000, 0.3319, 0.0000), Pa at (0.0000, 0.5000, 0.5000), As at (0.2462, 0.5000, 0.2526) and As at (0.2472, 0.3355, 0.7482).

The crystal system is monoclinic. Its formation energy is -1470.3 meV per atom. Its electronic total energy is -78.05 eV/f.u. Its magnetization is 0.00 μB/cell. As for the volume: 24.524 Å³ per atom.

2.
First-principles (PBE) data for crystalline MgSi at its relaxed geometry, as listed in the Alexandria database.

It has space group Cm (No. 8), with a = 10.1269 Å, b = 3.6513 Å, c = 12.8261 Å, α = 90.00°, β = 104.63° and γ = 90.00°. The inequivalent atoms are Mg at (0.0000, 0.0000, 0.0000), Mg at (0.0045, 0.5000, 0.7964), Mg at (0.0811, 0.5000, 0.4270), Mg at (0.1791, 0.0000, 0.6470), Mg at (0.2202, 0.0000, 0.2806), Mg at (0.2499, 0.5000, 0.0854), Si at (0.0065, 0.5000, 0.1699), Si at (0.2146, 0.0000, 0.9061), Si at (0.2938, 0.5000, 0.8171), Si at (0.3567, 0.5000, 0.4562), Si at (0.4308, 0.0000, 0.5767) and Si at (0.4393, 0.5000, 0.2792).

The crystal system is monoclinic. Its electronic total energy is -6.89 eV/f.u. Its magnetization is 0.00 μB/cell. For the formation energy without anion corrections, the calculation gives 63 meV per atom. As for the volume: 19.120 Å³ per atom.

3.
First-principles (PBE) data for crystalline Tb2PmEr6 at its relaxed geometry, as listed in the Alexandria database.

It has space group C2/m (No. 12), with a = 11.8912 Å, b = 5.5931 Å, c = 10.2407 Å, α = 90.00°, β = 124.64° and γ = 90.00°. The inequivalent atoms are Tb at (0.1119, 0.0000, 0.2846), Pm at (0.0000, 0.5000, 0.0000), Er at (0.0545, 0.5000, 0.3901), Er at (0.1658, 0.0000, 0.6682) and Er at (0.2211, 0.0000, 0.0577).

As for the energy above the lowest structure with this stoichiometry: 4.7 kJ/mol of atoms. The crystal system is monoclinic. Its formation energy is 70.4 meV per atom. Its electronic total energy is -40.75 eV/f.u. Its magnetization is 0.00 μB/cell. As for the volume: 31.132 Å³ per atom.

4.
First-principles (PBE) data for crystalline LiLa2TlCl at its relaxed geometry, as listed in the Alexandria database.

It has space group P4/mmm (No. 123), with a = 5.6428 Å, b = 5.6428 Å, c = 4.4065 Å, α = 90.00°, β = 90.00° and γ = 90.00°. The inequivalent atoms are Li at (0.0000, 0.0000, 0.0000), La at (0.0000, 0.5000, 0.5000), Tl at (0.5000, 0.5000, 0.0000) and Cl at (0.0000, 0.0000, 0.5000).

The crystal system is tetragonal. Its electronic total energy is -19.65 eV/f.u. Its magnetization is 0.00 μB/cell. For the formation energy without anion corrections, the calculation gives -734 meV per atom. As for the volume: 28.062 Å³ per atom.

5.
First-principles (PBE) data for crystalline MgSi at its relaxed geometry, as listed in the Alexandria database.

It has space group P1 (No. 1), with a = 5.2583 Å, b = 5.3604 Å, c = 8.5136 Å, α = 90.25°, β = 91.33° and γ = 106.04°. The inequivalent atoms are Mg at (0.0000, 0.0000, 0.0000), Mg at (0.0188, 0.7801, 0.3401), Mg at (0.3097, 0.9012, 0.6979), Mg at (0.4137, 0.3813, 0.4100), Mg at (0.6377, 0.3825, 0.0365), Mg at (0.9119, 0.3085, 0.6441), Si at (0.1653, 0.5330, 0.9489), Si at (0.4331, 0.4225, 0.7434), Si at (0.4858, 0.8452, 0.1152), Si at (0.5516, 0.9253, 0.4061), Si at (0.7720, 0.7722, 0.6327) and Si at (0.9036, 0.2600, 0.2961).

The crystal system is triclinic. Its electronic total energy is -6.94 eV/f.u. Its magnetization is 0.00 μB/cell. For the formation energy without anion corrections, the calculation gives 40 meV per atom. As for the volume: 19.212 Å³ per atom.

6.
First-principles (PBE) data for crystalline RbNb3Tl at its relaxed geometry, as listed in the Alexandria database.

It has space group Pm-3m (No. 221), with a = 4.8487 Å, b = 4.8487 Å, c = 4.8487 Å, α = 90.00°, β = 90.00° and γ = 90.00°. The inequivalent atoms are Rb at (0.0000, 0.0000, 0.0000), Nb at (0.0000, 0.0000, 0.5000) and Tl at (0.5000, 0.5000, 0.5000).

As for the energy above the lowest structure with this stoichiometry: 41.0 kJ/mol of atoms. The crystal system is cubic. Its formation energy is 2580.6 meV per atom. Its electronic total energy is -20.64 eV/f.u. Its magnetization is 0.00 μB/cell. As for the volume: 22.799 Å³ per atom.

7.
First-principles (PBE) data for crystalline TeMo2Ru at its relaxed geometry, as listed in the Alexandria database.

It has space group R-3m (No. 166, hexagonal axes), with a = 2.9982 Å, b = 2.9982 Å, c = 26.1877 Å, α = 90.00°, β = 90.00° and γ = 120.00°. The inequivalent atoms are Te at (0.0000, 0.0000, 0.0000), Mo at (0.0000, 0.0000, 0.2466) and Ru at (0.0000, 0.0000, 0.5000).

The crystal system is trigonal. Its electronic total energy is -32.13 eV/f.u. Its magnetization is 0.00 μB/cell. For the formation energy without anion corrections, the calculation gives 486 meV per atom. As for the volume: 16.989 Å³ per atom.

8.
First-principles (PBE) data for crystalline WSeBrN2 at its relaxed geometry, as listed in the Alexandria database.

It has space group P4/mmm (No. 123), with a = 3.9593 Å, b = 3.9593 Å, c = 5.0005 Å, α = 90.00°, β = 90.00° and γ = 90.00°. The inequivalent atoms are W at (0.0000, 0.0000, 0.0000), Se at (0.5000, 0.5000, 0.0000), Br at (0.5000, 0.5000, 0.5000) and N at (0.0000, 0.5000, 0.5000).

As for the energy above the lowest structure with this stoichiometry: 206.8 kJ/mol of atoms. The crystal system is tetragonal. Its electronic total energy is -21.64 eV/f.u. Its magnetization is 2.09 μB/cell. For the formation energy without anion corrections, the calculation gives 2625 meV per atom. As for the volume: 15.678 Å³ per atom.

9.
First-principles (PBE) data for crystalline AcHo4Cu5 at its relaxed geometry, as listed in the Alexandria database.

It has space group P4/mmm (No. 123), with a = 3.5015 Å, b = 3.5015 Å, c = 17.7547 Å, α = 90.00°, β = 90.00° and γ = 90.00°. The inequivalent atoms are Ac at (0.0000, 0.0000, 0.0000), Ho at (0.0000, 0.0000, 0.2098), Ho at (0.0000, 0.0000, 0.4033), Cu at (0.5000, 0.5000, 0.1208), Cu at (0.5000, 0.5000, 0.3058) and Cu at (0.5000, 0.5000, 0.5000).

The crystal system is tetragonal. Its formation energy is -215.6 meV per atom. Its electronic total energy is -45.06 eV/f.u. Its magnetization is 0.00 μB/cell. As for the volume: 21.768 Å³ per atom.

10.
First-principles (PBE) data for crystalline HoPu4N5 at its relaxed geometry, as listed in the Alexandria database.

It has space group I4/m (No. 87), with a = 7.7744 Å, b = 7.7744 Å, c = 4.9234 Å, α = 90.00°, β = 90.00° and γ = 90.00°. The inequivalent atoms are Ho at (0.0000, 0.0000, 0.0000), Pu at (0.1000, 0.2991, 0.5000), N at (0.0000, 0.0000, 0.5000) and N at (0.0997, 0.3030, 0.0000).

The crystal system is tetragonal. Its electronic total energy is -117.00 eV/f.u. Its magnetization is 38.16 μB/cell. For the formation energy without anion corrections, the calculation gives -1347 meV per atom. As for the volume: 14.879 Å³ per atom.

11.
First-principles (PBE) data for crystalline Tb5Cd4Ga at its relaxed geometry, as listed in the Alexandria database.

It has space group P4/mmm (No. 123), with a = 3.7065 Å, b = 3.7065 Å, c = 18.7953 Å, α = 90.00°, β = 90.00° and γ = 90.00°. The inequivalent atoms are Tb at (0.0000, 0.0000, 0.0000), Tb at (0.0000, 0.0000, 0.2038), Tb at (0.0000, 0.0000, 0.4086), Cd at (0.5000, 0.5000, 0.1020), Cd at (0.5000, 0.5000, 0.3050) and Ga at (0.5000, 0.5000, 0.5000).

The crystal system is tetragonal. Its formation energy is -371.2 meV per atom. Its electronic total energy is -33.55 eV/f.u. Its magnetization is 0.18 μB/cell. As for the volume: 25.822 Å³ per atom.

12.
First-principles (PBE) data for crystalline CaTlBiPtN at its relaxed geometry, as listed in the Alexandria database.

It has space group Cm (No. 8), with a = 13.7449 Å, b = 3.6628 Å, c = 4.5243 Å, α = 90.00°, β = 94.16° and γ = 90.00°. The inequivalent atoms are Ca at (0.0000, 0.0000, 0.0000), Tl at (0.1436, 0.5000, 0.5365), Bi at (0.2913, 0.0000, 0.0780), Pt at (0.3647, 0.5000, 0.4852) and N at (0.4191, 0.0000, 0.7564).

As for the energy above the lowest structure with this stoichiometry: 16.0 kJ/mol of atoms. The crystal system is monoclinic. Its electronic total energy is -23.06 eV/f.u. Its magnetization is 0.00 μB/cell. For the formation energy without anion corrections, the calculation gives -88 meV per atom. As for the volume: 22.717 Å³ per atom.